VASP calculation (PBE) on crystalline KMgIn2Ru at its relaxed geometry.

Cell lengths 5.2256, 5.2256, 5.1326 Å; angles 90.00, 90.00, 90.00 degrees
With the nearest neighbours (Å) after each atom.
Element x y z (fractional)
K  0.0000  0.0000  0.0000  8 In 3.66, 4 Mg 3.70
Mg  0.5000  0.5000  0.0000  2 Ru 2.57
In  0.0000  0.5000  0.5000  2 Ru 2.61
In  0.5000  0.0000  0.5000  2 Ru 2.61
Ru  0.5000  0.5000  0.5000  2 Mg 2.57, 4 In 2.61

Computed properties:
- Space-group type: No. 123
- ΔH_f (0 K): -8.0 kJ/mol of atoms



VASP calculation (PBE) on crystalline KMg2InRu at its relaxed geometry.

Cell lengths 5.1346, 5.1346, 5.2203 Å; angles 90.00, 90.00, 90.00 degrees
With the nearest neighbours (Å) after each atom.
Element x y z (fractional)
K  0.0000  0.0000  0.0000  4 In 3.63, 8 Mg 3.66
Mg  0.0000  0.5000  0.5000  2 Ru 2.57
Mg  0.5000  0.0000  0.5000  2 Ru 2.57
In  0.5000  0.5000  0.0000  2 Ru 2.61
Ru  0.5000  0.5000  0.5000  4 Mg 2.57, 2 In 2.61

Computed properties:
- Space-group type: No. 123
- ΔH_f (0 K): 3.3 kJ/mol of atoms



VASP calculation (PBE) on crystalline KMgInS3 at its relaxed geometry.

Cell lengths 8.1184, 3.8974, 10.5158 Å; angles 90.00, 110.63, 90.00 degrees
With the nearest neighbours (Å) after each atom.
Element x y z (fractional)
K  0.2413  0.2500  0.2405  4 S 3.16-3.25
K  0.7587  0.7500  0.7595  4 S 3.16-3.25
Mg  0.3352  0.7500  0.9170  5 S 2.47-2.67
Mg  0.6648  0.2500  0.0830  5 S 2.47-2.67
In  0.1639  0.2500  0.6470  4 S 2.47-2.76
In  0.8361  0.7500  0.3530  4 S 2.47-2.76
S  0.1006  0.2500  0.8605  1 In 2.47, 2 Mg 2.64
S  0.1997  0.7500  0.5096  2 In 2.50
S  0.4990  0.7500  0.1644  3 Mg 2.47-2.67, 1 In 2.76
S  0.5010  0.2500  0.8356  3 Mg 2.47-2.67, 1 In 2.76
S  0.8003  0.2500  0.4904  2 In 2.50
S  0.8994  0.7500  0.1395  1 In 2.47, 2 Mg 2.64

Computed properties:
- ΔE_f (raw): -1.011 eV/atom
- Space-group type: No. 11



VASP calculation (PBE) on crystalline KMgInS2 at its relaxed geometry.

Cell lengths 5.3124, 5.3124, 5.3062 Å; angles 90.00, 90.00, 90.00 degrees
With the nearest neighbours (Å) after each atom.
Element x y z (fractional)
K  0.0000  0.0000  0.0000  8 S 3.75, 4 Mg 3.76
Mg  0.5000  0.5000  0.0000  2 In 2.65
In  0.5000  0.5000  0.5000  2 Mg 2.65, 4 S 2.66
S  0.0000  0.5000  0.5000  2 In 2.66
S  0.5000  0.0000  0.5000  2 In 2.66

Computed properties:
- ΔE_f (raw): -0.149 eV/atom
- Space-group type: No. 123



VASP calculation (PBE) on crystalline KMgIn2Se4 at its relaxed geometry.

Cell lengths 7.5744, 7.5744, 7.5744 Å; angles 127.59, 127.59, 77.30 degrees
With the nearest neighbours (Å) after each atom.
Element x y z (fractional)
K  0.0000  0.0000  0.0000  4 Se 3.13
Mg  0.5000  0.5000  0.0000  4 Se 2.60
In  0.2500  0.7500  0.5000  4 Se 2.74
In  0.7500  0.2500  0.5000  4 Se 2.74
Se  0.1476  0.1476  0.5679  1 Mg 2.60, 2 In 2.74
Se  0.4203  0.8524  0.0000  1 Mg 2.60, 2 In 2.74
Se  0.5797  0.5797  0.4321  1 Mg 2.60, 2 In 2.74
Se  0.8524  0.4203  0.0000  1 Mg 2.60, 2 In 2.74

Computed properties:
- ΔE_f (raw): -0.767 eV/atom
- Space-group type: No. 121



VASP calculation (PBE) on crystalline KMg2InSe4 at its relaxed geometry.

Cell lengths 7.5858, 7.5858, 14.8326 Å; angles 90.00, 90.00, 149.50 degrees
With the nearest neighbours (Å) after each atom.
Element x y z (fractional)
K  0.1349  0.8651  0.7500  6 Se 3.21-3.52
K  0.8651  0.1349  0.2500  6 Se 3.21-3.52
Mg  0.3833  0.6167  0.5460  5 Se 2.71-3.04
Mg  0.3833  0.6167  0.9540  5 Se 2.71-3.04
Mg  0.6167  0.3833  0.0460  5 Se 2.71-3.04
Mg  0.6167  0.3833  0.4540  5 Se 2.71-3.04
In  0.1501  0.8499  0.2500  4 Se 2.57-2.59
In  0.8499  0.1501  0.7500  4 Se 2.57-2.59
Se  0.0000  0.0000  0.0000  4 Mg 2.71
Se  0.0000  0.0000  0.5000  4 Mg 2.71
Se  0.2378  0.7622  0.0998  1 In 2.57, 2 Mg 2.79
Se  0.2378  0.7622  0.4002  1 In 2.57, 2 Mg 2.79
Se  0.4627  0.5373  0.7500  2 In 2.59
Se  0.5373  0.4627  0.2500  2 In 2.59
Se  0.7622  0.2378  0.5998  1 In 2.57, 2 Mg 2.79
Se  0.7622  0.2378  0.9002  1 In 2.57, 2 Mg 2.79

Computed properties:
- ΔE_f (raw): -0.957 eV/atom
- Space-group type: No. 63



no.,calculated density (g/cm3)
1,4.7
2,3.7
3,2.9
4,2.7
5,3.8
6,4.0